1.
Below is MoPBr3 after structural relaxation, with properties calculated at the PBE-GGA level.

Crystal system   cubic
Final energy   -17.2 eV for the cell shown
Space-group type   Pm-3m

Lattice parameters (Å, degrees): 5.172 5.172 5.172 90.00 90.00 90.00
Element x y z (fractional)
Br (0.000, 0.000, 0.500)
P (0.000, 0.000, 0.000)
Mo (0.500, 0.500, 0.500)
Br (0.500, 0.000, 0.000)
Br (0.000, 0.500, 0.000)



2.
Below is MoPBr2 after structural relaxation, with properties calculated at the PBE-GGA level.

Crystal system   tetragonal
Final energy   -18.8 eV for the cell shown
Space-group type   P4mm

Lattice parameters (Å, degrees): 3.361 3.361 8.142 90.00 90.00 90.00
Element x y z (fractional)
Br (0.000, 0.000, 0.904)
P (0.500, 0.500, 0.685)
Br (0.500, 0.500, 0.334)
Mo (0.000, 0.000, 0.577)



3.
Below is MoPBr3 after structural relaxation, with properties calculated at the PBE-GGA level.

Crystal system   cubic
Final energy   -17.5 eV for the cell shown
Space-group type   Pm-3m

Lattice parameters (Å, degrees): 5.046 5.046 5.046 90.00 90.00 90.00
Element x y z (fractional)
Mo (0.000, 0.000, 0.000)
Br (0.000, 0.500, 0.000)
Br (0.500, 0.000, 0.000)
Br (0.000, 0.000, 0.500)
P (0.500, 0.500, 0.500)



4.
Below is MoPBr2 after structural relaxation, with properties calculated at the PBE-GGA level.

Crystal system   monoclinic
Final energy   -16.3 eV for the cell shown
Space-group type   C2/m

Lattice parameters (Å, degrees): 4.530 5.468 4.540 66.38 88.00 113.56
Element x y z (fractional)
P (0.500, 0.500, 0.000)
Mo (0.000, 0.500, 0.500)
Br (0.000, 0.000, 0.000)
Br (0.500, 0.000, 0.500)



5.
Below is MoPBr2 after structural relaxation, with properties calculated at the PBE-GGA level.

Crystal system   orthorhombic
Final energy   -18.6 eV for the cell shown
Space-group type   Imm2

Lattice parameters (Å, degrees): 6.914 6.914 6.914 152.05 136.25 52.72
Element x y z (fractional)
P (0.365, 0.865, 0.500)
Mo (0.493, 0.493, 0.000)
Br (0.666, 0.166, 0.500)
Br (0.976, 0.976, 0.000)



6.
Below is MoPBr2 after structural relaxation, with properties calculated at the PBE-GGA level.

Crystal system   orthorhombic
Final energy   -16.1 eV for the cell shown
Space-group type   Pmmm

Lattice parameters (Å, degrees): 3.257 5.695 4.484 90.00 90.00 90.00
Element x y z (fractional)
P (0.000, 0.500, 0.500)
Br (0.500, 0.500, 0.000)
Mo (0.500, 0.000, 0.500)
Br (0.000, 0.000, 0.000)



7.
Below is MoPBr2 after structural relaxation, with properties calculated at the PBE-GGA level.

Crystal system   tetragonal
Final energy   -15.2 eV for the cell shown
Space-group type   P4/mmm

Lattice parameters (Å, degrees): 4.792 4.792 3.270 90.00 90.00 90.00
Element x y z (fractional)
Br (0.500, 0.500, 0.000)
Br (0.000, 0.000, 0.000)
P (0.000, 0.500, 0.500)
Mo (0.500, 0.000, 0.500)



8.
Below is MoPBr2 after structural relaxation, with properties calculated at the PBE-GGA level.

Crystal system   tetragonal
Final energy   -19.2 eV for the cell shown
Space-group type   P4mm

Lattice parameters (Å, degrees): 3.065 3.065 9.865 90.00 90.00 90.00
Element x y z (fractional)
P (0.500, 0.500, 0.654)
Br (0.500, 0.500, 0.342)
Mo (0.000, 0.000, 0.520)
Br (0.000, 0.000, 0.984)



9.
Below is Rb2MoPBr6 after structural relaxation, with properties calculated at the PBE-GGA level.

Crystal system   tetragonal
Final energy   -35.1 eV for the cell shown
Space-group type   I4/mmm

Lattice parameters (Å, degrees): 7.460 7.460 8.066 62.46 62.46 90.00
Element x y z (fractional)
Rb (0.250, 0.750, 0.500)
Br (0.253, 0.747, 0.000)
Br (0.747, 0.253, 0.000)
Rb (0.750, 0.250, 0.500)
P (0.500, 0.500, 0.000)
Br (0.785, 0.785, 0.429)
Br (0.253, 0.253, 0.000)
Br (0.215, 0.215, 0.571)
Br (0.747, 0.747, 0.000)
Mo (0.000, 0.000, 0.000)



10.
Below is ReMoPBr2 after structural relaxation, with properties calculated at the PBE-GGA level.

Crystal system   tetragonal
Final energy   -23.5 eV for the cell shown
Space-group type   P4/mmm

Lattice parameters (Å, degrees): 5.192 4.541 5.192 90.00 90.00 90.00
Element x y z (fractional)
Br (0.000, 0.000, 0.500)
Br (0.500, 0.000, 0.000)
P (0.000, 0.000, 0.000)
Re (0.000, 0.500, 0.000)
Mo (0.500, 0.500, 0.500)



11.
Below is ScMoPBr2 after structural relaxation, with properties calculated at the PBE-GGA level.

Crystal system   tetragonal
Final energy   -22.2 eV for the cell shown
Space-group type   P4/mmm

Lattice parameters (Å, degrees): 5.305 4.742 5.305 90.00 90.00 90.00
Element x y z (fractional)
Br (0.000, 0.000, 0.500)
Mo (0.000, 0.500, 0.000)
P (0.000, 0.000, 0.000)
Sc (0.500, 0.500, 0.500)
Br (0.500, 0.000, 0.000)



12.
Below is SnMo2PBr after structural relaxation, with properties calculated at the PBE-GGA level.

Crystal system   tetragonal
Final energy   -27.9 eV for the cell shown
Space-group type   P4/mmm

Lattice parameters (Å, degrees): 4.610 5.476 4.610 90.00 90.00 90.00
Element x y z (fractional)
P (0.000, 0.000, 0.000)
Br (0.500, 0.500, 0.500)
Mo (0.500, 0.000, 0.000)
Sn (0.000, 0.500, 0.000)
Mo (0.000, 0.000, 0.500)